Arrangement a

# YHgSeO GGA-PBE optimized geometry
# Spin magnetization: 0.126 μB/atom
data_YHgSeO
_chemical_formula_sum 'Y2 Hg2 Se2 O2'
_symmetry_space_group_name_H-M 'P 4/n m m'
_symmetry_Int_Tables_number 129
_cell_length_a 4.0231
_cell_length_b 4.0231
_cell_length_c 10.1096
_cell_angle_alpha 90.00
_cell_angle_beta 90.00
_cell_angle_gamma 90.00
loop_
_symmetry_equiv_pos_as_xyz
'x,y,z'
'-x,-y,-z'
'-y+1/2,x,z'
'y+1/2,-x,-z'
'-x+1/2,-y+1/2,z'
'x+1/2,y+1/2,-z'
'y,-x+1/2,z'
'-y,x+1/2,-z'
'x+1/2,-y,-z'
'-x+1/2,y,z'
'-y,-x,-z'
'y,x,z'
'-x,y+1/2,-z'
'x,-y+1/2,z'
'y+1/2,x+1/2,-z'
'-y+1/2,-x+1/2,z'
loop_
_atom_site_label
_atom_site_fract_x
_atom_site_fract_y
_atom_site_fract_z
Y1 0.2500 0.2500 0.1050
Hg1 0.2500 0.7500 0.5000
Se1 0.2500 0.2500 0.7402
O1 0.2500 0.7500 0.0000


Arrangement b

# YHgSeO GGA-PBE optimized geometry
# Spin magnetization: 0.001 μB/atom
data_YHgSeO
_chemical_formula_sum 'Y2 Hg2 Se2 O2'
_symmetry_space_group_name_H-M 'P m c 21'
_symmetry_Int_Tables_number 26
_cell_length_a 4.7178
_cell_length_b 8.9554
_cell_length_c 5.4807
_cell_angle_alpha 90.00
_cell_angle_beta 90.00
_cell_angle_gamma 90.00
loop_
_symmetry_equiv_pos_as_xyz
'x,y,z'
'-x,-y,z+1/2'
'-x,y,z'
'x,-y,z+1/2'
loop_
_atom_site_label
_atom_site_fract_x
_atom_site_fract_y
_atom_site_fract_z
Y1 0.0000 0.1346 0.0000
Hg1 0.5000 0.3073 0.5809
Se1 0.5000 0.3082 0.0860
O1 0.0000 0.0820 0.6323


Stability, lowest: arrangement b